Record 1
The following is a PBE-GGA calculation of a geometry-optimized Ho3ZrTe2C2 structure, from the Open Quantum Materials Database.

a b c (Å): 3.7297 3.7297 13.8985
angles (deg): 90.00 90.00 120.00
Closest atoms and distances in Å follow each position.
Fractional positions:
1 Ho 0.0000 0.0000 0.0000  3 C 2.53
2 Ho 0.0000 0.0000 0.3184  3 C 2.56
3 Ho 0.6667 0.3333 0.8121  3 C 2.50
4 Zr 0.6667 0.3333 0.4983  3 C 2.43
5 Te 0.0000 0.0000 0.6462  3 Zr 2.98, 3 Ho 3.15
6 Te 0.6667 0.3333 0.1603  6 Ho 3.08-3.10
7 C 0.3333 0.6667 0.4180  3 Zr 2.43, 3 Ho 2.56
8 C 0.3333 0.6667 0.9039  6 Ho 2.50-2.53

## Properties
M_tot in μB per atom: 0.001
Crystal system: trigonal

***

Record 2
The following is a PBE-GGA calculation of a geometry-optimized SmGdPt4 structure, from the Open Quantum Materials Database.

a b c (Å): 5.4588 5.4588 5.4588
angles (deg): 60.00 60.00 60.00
Closest atoms and distances in Å follow each position.
Fractional positions:
1 Sm 0.0000 0.0000 0.0000  12 Pt 3.20, 4 Gd 3.34
2 Gd 0.2500 0.2500 0.2500  12 Pt 3.20, 4 Sm 3.34
3 Pt 0.1254 0.6249 0.6249  6 Pt 2.73
4 Pt 0.6249 0.1254 0.6249  6 Pt 2.73
5 Pt 0.6249 0.6249 0.1254  6 Pt 2.73
6 Pt 0.6249 0.6249 0.6249  6 Pt 2.73

## Properties
E_form in meV/atom: -1086
M_tot in μB per atom: 0.000
Crystal system: cubic

***

Record 3
The following is a PBE-GGA calculation of a geometry-optimized MgCdInFe structure, from the Open Quantum Materials Database.

a b c (Å): 4.6810 4.6810 4.6810
angles (deg): 60.00 60.00 60.00
Closest atoms and distances in Å follow each position.
Fractional positions:
1 Mg 0.0000 0.0000 0.0000  4 Cd 2.87, 4 In 2.87
2 Cd 0.7500 0.7500 0.7500  4 Fe 2.87, 4 Mg 2.87
3 In 0.2500 0.2500 0.2500  4 Fe 2.87, 4 Mg 2.87
4 Fe 0.5000 0.5000 0.5000  4 Cd 2.87, 4 In 2.87

## Properties
Relative energy among the computed polymorphs in eV/atom: 0.000
M_tot in μB per atom: 0.520
Crystal system: cubic

***

Record 4
The following is a PBE-GGA calculation of a geometry-optimized CuB4Sb structure, from the Open Quantum Materials Database.

a b c (Å): 3.0490 3.0490 8.0127
angles (deg): 90.00 90.00 120.00
Closest atoms and distances in Å follow each position.
Fractional positions:
1 Cu 0.0000 0.0000 0.0000  12 B 2.38
2 B 0.3333 0.6667 0.2006  3 B 1.76
3 B 0.3333 0.6667 0.7994  3 B 1.76
4 B 0.6667 0.3333 0.2006  3 B 1.76
5 B 0.6667 0.3333 0.7994  3 B 1.76
6 Sb 0.0000 0.0000 0.5000  12 B 2.98, 6 Sb 3.05

## Properties
Relative energy among the computed polymorphs in eV/atom: 0.000
Crystal system: hexagonal

***

no.,final energy (Ry per atom)
1,-0.495
2,-0.491
3,-0.230
4,-0.384